GaSiB2 (PBE, relaxed); total magnetic moment = 0.0 μB/cell; DFT total energy = -4.82 eV/atom; energy relative to the lowest polymorph listed for this composition = 0.0 meV/atom; crystal system = tetragonal
1.0
-3.478 -3.439 -1.040
2.611 -1.425 -4.020
1.778 -5.424 -0.034
Si B Ga
2 4 2
direct
0.250 0.750 0.500
0.500 0.500 0.000
0.152 0.625 0.250
0.598 0.125 0.250
0.875 0.848 0.750
0.375 0.402 0.750
0.750 0.250 0.500
0.000 0.000 0.000

Ga3SiB (PBE, relaxed); total magnetic moment = 0.0 μB/cell; DFT total energy = -3.01 eV/atom; energy relative to the lowest polymorph listed for this composition = 676.8 meV/atom; crystal system = cubic
1.0
-4.358 -1.898 0.367
0.564 -0.382 4.718
-1.849 4.357 0.574
Si Ga B
1 3 1
direct
0.000 0.000 0.000
0.000 0.500 0.000
0.500 0.000 0.000
0.000 0.000 0.500
0.500 0.500 0.500

Ga2SiB4 (PBE, relaxed); total magnetic moment = 0.0 μB/cell; DFT total energy = -4.09 eV/atom; crystal system = tetragonal
1.0
4.030 0.000 0.000
0.000 4.030 0.000
2.015 2.015 5.662
B Ga Si
4 2 1
direct
0.817 0.817 0.366
0.000 0.500 0.000
0.183 0.183 0.634
0.500 0.000 0.000
0.367 0.367 0.265
0.633 0.633 0.735
0.000 0.000 0.000

GaSi3B (PBE, relaxed); total magnetic moment = 0.0 μB/cell; DFT total energy = -4.53 eV/atom; energy relative to the lowest polymorph listed for this composition = 0.0 meV/atom; crystal system = cubic
1.0
-0.846 3.553 -2.041
1.858 -1.525 -3.424
-3.652 -1.599 -1.270
Si B Ga
3 1 1
direct
0.500 0.000 0.000
0.000 0.500 0.000
0.000 0.000 0.500
0.000 0.000 0.000
0.500 0.500 0.500

SmGa2Tc2B (PBE, relaxed); energy relative to the elements = -0.474 eV per atom; total magnetic moment = 0.0 μB/cell; DFT total energy = -6.84 eV/atom; crystal system = tetragonal
1.0
4.239 0.000 0.000
0.000 4.239 0.000
0.000 0.000 5.547
Tc B Ga Sm
2 1 2 1
direct
0.500 0.000 0.000
0.000 0.500 0.000
0.000 0.000 0.000
0.500 0.500 0.728
0.500 0.500 0.272
0.000 0.000 0.500

Ga3SnB (PBE, relaxed); energy relative to the elements = 0.374 eV per atom; total magnetic moment = 0.0 μB/cell; DFT total energy = -3.58 eV/atom; energy relative to the lowest polymorph listed for this composition = 0.0 meV/atom; crystal system = cubic
1.0
-2.888 -3.224 -1.236
-0.580 -1.135 4.317
-3.403 2.929 0.312
Ga B Sn
3 1 1
direct
0.000 0.000 0.500
0.000 0.500 0.000
0.500 0.000 0.000
0.000 0.000 0.000
0.500 0.500 0.500

Ga3SnB (PBE, relaxed); energy relative to the elements = 1.472 eV per atom; total magnetic moment = 0.0 μB/cell; DFT total energy = -2.48 eV/atom; energy relative to the lowest polymorph listed for this composition = 1097.9 meV/atom; crystal system = cubic
1.0
-0.027 4.391 -2.991
2.527 -2.620 -3.870
-4.673 -1.442 -2.076
Ga Sn B
3 1 1
direct
0.500 0.000 0.000
0.000 0.000 0.500
0.000 0.500 0.000
0.000 0.000 0.000
0.500 0.500 0.500

SrGaSnB2 (PBE, relaxed); energy relative to the elements = 1.371 eV per atom; total magnetic moment = 0.0 μB/cell; DFT total energy = -3.04 eV/atom; crystal system = tetragonal
1.0
-3.186 -3.218 0.004
3.530 -3.489 3.880
-1.980 1.964 3.567
B Sr Sn Ga
2 1 1 1
direct
0.500 0.000 0.000
0.000 0.000 0.500
0.000 0.500 0.000
0.000 0.000 0.000
0.500 0.500 0.500

ZrGa2SnB (PBE, relaxed); energy relative to the elements = 0.053 eV per atom; total magnetic moment = 0.0 μB/cell; DFT total energy = -5.00 eV/atom; crystal system = tetragonal
1.0
4.336 0.000 0.000
0.000 4.833 0.000
0.000 0.000 4.336
Ga Zr B Sn
2 1 1 1
direct
0.000 0.000 0.500
0.500 0.000 0.000
0.000 0.500 0.000
0.000 0.000 0.000
0.500 0.500 0.500

SrGa2B2 (PBE, relaxed); energy relative to the elements = 0.091 eV per atom; total magnetic moment = 0.0 μB/cell; DFT total energy = -4.13 eV/atom; energy relative to the lowest polymorph listed for this composition = 0.0 meV/atom; crystal system = tetragonal
1.0
4.013 0.000 0.000
0.000 4.013 0.000
2.007 2.007 4.556
Ga B Sr
2 2 1
direct
0.750 0.250 0.500
0.250 0.750 0.500
0.600 0.600 0.799
0.400 0.400 0.201
0.000 0.000 0.000

SrGaB3 (PBE, relaxed); energy relative to the elements = 1.266 eV per atom; total magnetic moment = 0.0 μB/cell; DFT total energy = -3.68 eV/atom; energy relative to the lowest polymorph listed for this composition = 0.0 meV/atom; crystal system = cubic
1.0
-2.723 -2.982 -1.490
1.971 0.112 -3.825
2.688 -3.103 1.295
B Ga Sr
3 1 1
direct
0.500 0.000 0.000
0.000 0.500 0.000
0.000 0.000 0.500
0.000 0.000 0.000
0.500 0.500 0.500

Sr3GaB (PBE, relaxed); energy relative to the elements = 0.304 eV per atom; total magnetic moment = 3.1 μB/cell; DFT total energy = -2.65 eV/atom; energy relative to the lowest polymorph listed for this composition = 0.0 meV/atom; crystal system = cubic
1.0
-4.467 3.035 1.468
0.249 -2.133 5.168
3.362 4.191 1.568
Sr Ga B
3 1 1
direct
0.000 0.000 0.500
0.000 0.500 0.000
0.500 0.000 0.000
0.500 0.500 0.500
0.000 0.000 0.000

SrGa2B2 (PBE, relaxed); energy relative to the elements = 0.544 eV per atom; total magnetic moment = 0.0 μB/cell; DFT total energy = -3.67 eV/atom; energy relative to the lowest polymorph listed for this composition = 452.6 meV/atom; crystal system = tetragonal
1.0
6.952 0.000 0.000
0.000 6.952 0.000
0.000 0.000 3.787
B Ga Sr
4 4 2
direct
0.919 0.581 0.000
0.581 0.081 0.000
0.081 0.419 0.000
0.419 0.919 0.000
0.147 0.647 0.500
0.647 0.853 0.500
0.853 0.353 0.500
0.353 0.147 0.500
0.500 0.500 0.000
0.000 0.000 0.000

SrGa2B (PBE, relaxed); energy relative to the elements = 0.246 eV per atom; total magnetic moment = 0.0 μB/cell; DFT total energy = -3.36 eV/atom; crystal system = tetragonal
1.0
6.555 0.000 0.000
0.000 6.555 0.000
3.277 3.277 4.601
Ga B Sr
4 2 2
direct
0.875 0.573 0.750
0.375 0.677 0.750
0.323 0.125 0.250
0.427 0.625 0.250
0.250 0.750 0.500
0.500 0.500 0.000
0.750 0.250 0.500
0.000 0.000 0.000

SrGaB3 (PBE, relaxed); energy relative to the elements = 2.744 eV per atom; total magnetic moment = 0.0 μB/cell; DFT total energy = -2.20 eV/atom; energy relative to the lowest polymorph listed for this composition = 1477.3 meV/atom; crystal system = cubic
1.0
5.034 0.000 0.000
0.000 5.034 0.000
0.000 0.000 5.034
Sr Ga B
1 1 3
direct
0.000 0.000 0.000
0.500 0.500 0.500
0.500 0.000 0.000
0.000 0.500 0.000
0.000 0.000 0.500

SrGaBTe2 (PBE, relaxed); total magnetic moment = 0.3 μB/cell; DFT total energy = -2.34 eV/atom; crystal system = tetragonal
1.0
6.150 0.000 0.000
0.000 5.960 0.000
0.000 0.000 6.150
B Te Ga Sr
1 2 1 1
direct
0.500 0.500 0.500
0.500 0.000 0.000
0.000 0.000 0.500
0.000 0.500 0.000
0.000 0.000 0.000

TaGaB2 (PBE, relaxed); energy relative to the elements = 0.503 eV per atom; total magnetic moment = 0.0 μB/cell; DFT total energy = -6.56 eV/atom; crystal system = tetragonal
1.0
-4.014 2.213 3.569
-1.971 -5.352 1.102
-1.112 -1.797 4.592
Ta B Ga
2 4 2
direct
0.000 0.000 0.000
0.750 0.250 0.500
0.375 0.398 0.750
0.875 0.852 0.750
0.148 0.625 0.250
0.602 0.125 0.250
0.250 0.750 0.500
0.500 0.500 0.000

Ta4GaB (PBE, relaxed); energy relative to the elements = -0.430 eV per atom; total magnetic moment = 0.0 μB/cell; DFT total energy = -9.95 eV/atom; crystal system = tetragonal
1.0
5.031 0.000 0.000
0.000 6.064 0.000
0.000 0.000 6.064
Ga B Ta
2 2 8
direct
0.750 0.000 0.000
0.250 0.000 0.000
0.750 0.500 0.500
0.250 0.500 0.500
0.000 0.639 0.816
0.500 0.184 0.361
0.500 0.639 0.184
0.500 0.361 0.816
0.500 0.816 0.639
0.000 0.361 0.184
0.000 0.184 0.639
0.000 0.816 0.361

Ta2GaB (PBE, relaxed); energy relative to the elements = -0.420 eV per atom; total magnetic moment = 0.0 μB/cell; DFT total energy = -8.77 eV/atom; energy relative to the lowest polymorph listed for this composition = 0.0 meV/atom; crystal system = trigonal
1.0
-0.267 0.729 -3.087
-1.802 -1.799 -1.910
-6.166 3.628 -0.251
Ga Ta B
1 2 1
direct
0.500 0.500 0.500
0.272 0.272 0.183
0.728 0.728 0.817
0.000 0.000 0.000

Ta5GaB2 (PBE, relaxed); energy relative to the elements = -0.503 eV per atom; total magnetic moment = 0.0 μB/cell; DFT total energy = -9.96 eV/atom; crystal system = tetragonal
1.0
-0.292 6.284 -0.053
1.029 -0.005 -6.206
-6.144 -3.417 2.172
Ga Ta B
2 10 4
direct
0.250 0.250 0.500
0.750 0.750 0.500
0.198 0.031 0.729
0.000 0.000 0.000
0.302 0.802 0.271
0.531 0.698 0.729
0.802 0.969 0.271
0.698 0.198 0.729
0.031 0.531 0.729
0.969 0.469 0.271
0.469 0.302 0.271
0.500 0.500 0.000
0.121 0.379 0.000
0.879 0.621 0.000
0.379 0.879 0.000
0.621 0.121 0.000